# 1
Below is a relaxed structure of NiGe3Pt, with properties calculated at the PBE level.

Summary:
- distance to the lowest polymorph of the same formula (eV/atom) = 0.442
- formation energy from the elements (meV/atom) = 716

```
data_NiGe3Pt
_chemical_formula_sum 'Ni1 Ge3 Pt1'
_cell_length_a 4.846
_cell_length_b 4.846
_cell_length_c 4.846
_cell_angle_alpha 90.00
_cell_angle_beta 90.00
_cell_angle_gamma 90.00
_symmetry_space_group_name_H-M 'P m -3 m'
_symmetry_Int_Tables_number 221
_symmetry_space_group_name_Hall '-P 4 2 3'
loop_
_atom_site_label
_atom_site_fract_x
_atom_site_fract_y
_atom_site_fract_z
Ni1 0.000 0.000 0.000
Ge1 0.000 0.500 0.500
Pt1 0.500 0.500 0.500
```

# 2
Below is a relaxed structure of Tb2Pr3Zn2, with properties calculated at the PBE level.

Summary:
- formation energy from the elements (meV/atom) = -107

```
data_Tb2Pr3Zn2
_chemical_formula_sum 'Tb4 Pr6 Zn4'
_cell_length_a 3.676
_cell_length_b 30.955
_cell_length_c 3.633
_cell_angle_alpha 90.00
_cell_angle_beta 90.00
_cell_angle_gamma 90.00
_symmetry_space_group_name_H-M 'C m m m'
_symmetry_Int_Tables_number 65
_symmetry_space_group_name_Hall '-C 2 2'
loop_
_atom_site_label
_atom_site_fract_x
_atom_site_fract_y
_atom_site_fract_z
Tb1 0.000 0.202 0.000
Pr1 0.000 0.088 0.000
Pr2 0.000 0.500 0.500
Zn1 0.000 0.351 0.500
```

# 3
Below is a relaxed structure of MgHgPd4, with properties calculated at the PBE level.

Summary:
- distance to the lowest polymorph of the same formula (eV/atom) = 0.000
- formation energy from the elements (meV/atom) = -350

```
data_MgHgPd4
_chemical_formula_sum 'Mg1 Hg1 Pd4'
_cell_length_a 4.898
_cell_length_b 4.918
_cell_length_c 4.938
_cell_angle_alpha 60.53
_cell_angle_beta 81.25
_cell_angle_gamma 72.57
_symmetry_space_group_name_H-M 'P -1'
_symmetry_Int_Tables_number 2
_symmetry_space_group_name_Hall '-P 1'
loop_
_atom_site_label
_atom_site_fract_x
_atom_site_fract_y
_atom_site_fract_z
Mg1 0.000 0.000 0.000
Hg1 0.500 0.500 0.000
Pd1 0.000 0.332 0.335
Pd2 0.499 0.166 0.668
```

# 4
Below is a relaxed structure of Si2RhCl, with properties calculated at the PBE level.

Summary:
- E_form (uncorrected) (meV/atom) = 91
- distance to the lowest polymorph of the same formula (eV/atom) = 0.207

```
data_Si2RhCl
_chemical_formula_sum 'Si4 Rh2 Cl2'
_cell_length_a 2.834
_cell_length_b 4.574
_cell_length_c 9.909
_cell_angle_alpha 90.00
_cell_angle_beta 90.00
_cell_angle_gamma 90.00
_symmetry_space_group_name_H-M 'I m m 2'
_symmetry_Int_Tables_number 44
_symmetry_space_group_name_Hall 'I 2 -2'
loop_
_atom_site_label
_atom_site_fract_x
_atom_site_fract_y
_atom_site_fract_z
Si1 0.000 0.000 0.000
Si2 0.000 0.500 0.258
Rh1 0.000 0.000 0.564
Cl1 0.000 0.500 0.812
```

# 5
Below is a relaxed structure of ScMoS2, with properties calculated at the PBE level.

Summary:
- E_form (uncorrected) (meV/atom) = -716
- distance to the lowest polymorph of the same formula (eV/atom) = 0.067

```
data_ScMoS2
_chemical_formula_sum 'Sc4 Mo4 S8'
_cell_length_a 5.205
_cell_length_b 5.205
_cell_length_c 12.429
_cell_angle_alpha 90.00
_cell_angle_beta 90.00
_cell_angle_gamma 90.00
_symmetry_space_group_name_H-M 'I -4 2 d'
_symmetry_Int_Tables_number 122
_symmetry_space_group_name_Hall 'I -4 2bw'
loop_
_atom_site_label
_atom_site_fract_x
_atom_site_fract_y
_atom_site_fract_z
Sc1 0.000 0.000 0.000
Mo1 0.000 0.000 0.500
S1 0.216 0.250 0.625
```

# 6
Below is a relaxed structure of La5Pr4Sc2, with properties calculated at the PBE level.

Summary:
- formation energy from the elements (meV/atom) = 103

```
data_La5Pr4Sc2
_chemical_formula_sum 'La5 Pr4 Sc2'
_cell_length_a 3.583
_cell_length_b 8.801
_cell_length_c 12.272
_cell_angle_alpha 94.53
_cell_angle_beta 98.37
_cell_angle_gamma 90.01
_symmetry_space_group_name_H-M 'P -1'
_symmetry_Int_Tables_number 2
_symmetry_space_group_name_Hall '-P 1'
loop_
_atom_site_label
_atom_site_fract_x
_atom_site_fract_y
_atom_site_fract_z
La1 0.000 0.000 0.000
La2 0.322 0.521 0.642
La3 0.370 0.961 0.739
Pr1 0.226 0.822 0.453
Pr2 0.462 0.650 0.924
Sc1 0.086 0.697 0.172
```